Model i:
Density functional theory data (GGA-PBE) for a geometry-optimized La3Pr2Cd structure.

Results
* V: 207.1 Å³/cell

Lattice parameters (Å, degrees): 6.566 6.058 6.860 116.20 118.59 90.00
Fractional coordinates of all 6 atoms:
Cd1 0.500 0.125 0.000
Pr1 0.181 0.804 0.361
La1 0.000 0.123 0.000
La2 0.349 0.473 0.697
La3 0.651 0.776 0.303
Pr2 0.819 0.442 0.639

---

Model ii:
Density functional theory data (GGA-PBE) for a geometry-optimized La3Pr2Cd structure.

Results
* V: 208.4 Å³/cell

Lattice parameters (Å, degrees): 3.777 3.777 14.605 90.00 90.00 90.00
Fractional coordinates of all 6 atoms:
La1 0.000 0.000 0.000
Pr1 0.500 0.500 0.822
Pr2 0.500 0.500 0.178
Cd1 0.500 0.500 0.500
La2 0.000 0.000 0.644
La3 0.000 0.000 0.356

---

model ii has the most favorable energy; the next structure is 0.246 eV/atom above.

---

Model i:
Density functional theory data (GGA-PBE) for a geometry-optimized La6Pr2Cd structure.

Results
* V: 637.9 Å³/cell

Lattice parameters (Å, degrees): 5.542 10.727 10.729 90.00 90.00 90.00
Fractional coordinates of all 18 atoms:
Cd1 0.500 0.500 0.000
La1 0.500 0.131 0.630
La2 0.000 0.318 0.464
La3 0.000 0.035 0.182
Pr1 0.500 0.211 0.288
La4 0.500 0.182 0.964
La5 0.500 0.535 0.318
La6 0.000 0.682 0.536
La7 0.000 0.369 0.130
La8 0.500 0.869 0.370
Pr2 0.500 0.789 0.712
Pr3 0.000 0.289 0.788
Pr4 0.000 0.711 0.212
La9 0.500 0.818 0.036
La10 0.500 0.465 0.682
Cd2 0.000 0.000 0.500
La11 0.000 0.965 0.818
La12 0.000 0.631 0.870

---

Model ii:
Density functional theory data (GGA-PBE) for a geometry-optimized La6Pr2Cd structure.

Results
* V: 321.0 Å³/cell

Lattice parameters (Å, degrees): 3.749 9.943 9.943 120.00 90.00 90.00
Fractional coordinates of all 9 atoms:
Pr1 0.000 0.333 0.667
Pr2 0.000 0.667 0.333
La1 0.000 0.718 0.718
Cd1 0.500 0.000 0.000
La2 0.000 0.282 0.000
La3 0.500 0.000 0.633
La4 0.000 0.000 0.282
La5 0.500 0.633 0.000
La6 0.500 0.367 0.367

---

model ii has the most favorable energy; the next structure is 0.024 eV/atom above.

---

Model i:
Density functional theory data (GGA-PBE) for a geometry-optimized LaPrCd4 structure.

Results
* V: 159.6 Å³/cell

Lattice parameters (Å, degrees): 5.149 6.207 6.207 68.43 65.50 65.50
Fractional coordinates of all 6 atoms:
Cd1 0.833 0.416 0.917
La1 0.500 0.500 0.500
Cd2 0.167 0.583 0.083
Cd3 0.167 0.083 0.583
Pr1 0.500 0.000 0.000
Cd4 0.833 0.917 0.416

---

Model ii:
Density functional theory data (GGA-PBE) for a geometry-optimized LaPrCd4 structure.

Results
* V: 156.8 Å³/cell

Lattice parameters (Å, degrees): 6.053 6.053 6.053 60.00 60.00 60.00
Fractional coordinates of all 6 atoms:
Cd1 0.126 0.625 0.625
Cd2 0.625 0.625 0.625
La1 0.000 0.000 0.000
Cd3 0.625 0.126 0.625
Cd4 0.625 0.625 0.126
Pr1 0.250 0.250 0.250

---

model i has the most favorable energy; the next structure is 0.035 eV/atom above.

---

Model i:
Density functional theory data (GGA-PBE) for a geometry-optimized La4Pr3Cd structure.

Results
* V: 279.2 Å³/cell

Lattice parameters (Å, degrees): 4.255 4.255 15.425 90.00 90.00 90.00
Fractional coordinates of all 8 atoms:
La1 0.000 0.000 0.619
Cd1 0.500 0.500 0.000
Pr1 0.500 0.500 0.500
Pr2 0.500 0.500 0.253
La2 0.000 0.000 0.381
La3 0.000 0.000 0.889
La4 0.000 0.000 0.111
Pr3 0.500 0.500 0.747

---

Model ii:
Density functional theory data (GGA-PBE) for a geometry-optimized La4Pr3Cd structure.

Results
* V: 549.6 Å³/cell

Lattice parameters (Å, degrees): 6.359 7.344 11.770 90.00 90.00 90.00
Fractional coordinates of all 16 atoms:
La1 0.146 0.364 0.231
Cd1 0.975 0.109 0.000
Pr1 0.501 0.874 0.000
Pr2 0.001 0.126 0.500
La2 0.646 0.636 0.269
Pr3 0.145 0.880 0.766
La3 0.146 0.364 0.769
La4 0.452 0.396 0.500
La5 0.646 0.636 0.731
La6 0.952 0.604 0.000
La7 0.506 0.363 0.000
Pr4 0.645 0.120 0.734
Cd2 0.475 0.891 0.500
La8 0.006 0.637 0.500
Pr5 0.145 0.880 0.234
Pr6 0.645 0.120 0.266

---

model ii has the most favorable energy; the next structure is 0.053 eV/atom above.

---

Model i:
Density functional theory data (GGA-PBE) for a geometry-optimized La2Pr6Cd structure.

Results
* V: 320.9 Å³/cell

Lattice parameters (Å, degrees): 3.601 9.937 10.262 118.96 87.52 90.00
Fractional coordinates of all 9 atoms:
La1 0.545 0.672 0.344
Pr1 0.500 0.706 0.000
Pr2 0.997 0.663 0.672
Pr3 0.500 0.294 0.000
Pr4 0.003 0.991 0.328
Pr5 0.003 0.337 0.328
La2 0.455 0.328 0.656
Pr6 0.997 0.009 0.672
Cd1 0.000 0.000 0.000

---

Model ii:
Density functional theory data (GGA-PBE) for a geometry-optimized La2Pr6Cd structure.

Results
* V: 622.8 Å³/cell

Lattice parameters (Å, degrees): 11.649 6.557 11.649 106.19 47.29 106.19
Fractional coordinates of all 18 atoms:
Cd1 0.751 0.750 0.249
Pr1 0.084 0.084 0.584
Pr2 0.650 0.448 0.503
Pr3 0.503 0.948 0.650
Pr4 0.584 0.584 0.084
Pr5 0.997 0.793 0.849
La1 0.830 0.428 0.670
La2 0.670 0.928 0.830
Pr6 0.916 0.916 0.416
Pr7 0.497 0.052 0.350
Pr8 0.003 0.207 0.151
Pr9 0.350 0.552 0.497
La3 0.170 0.572 0.330
Pr10 0.416 0.416 0.916
Pr11 0.151 0.707 0.003
La4 0.330 0.072 0.170
Cd2 0.249 0.250 0.751
Pr12 0.849 0.293 0.997

---

model ii has the most favorable energy; the next structure is 0.065 eV/atom above.

---

Model i:
Density functional theory data (GGA-PBE) for a geometry-optimized La4Pr5Cd structure.

Results
* V: 351.9 Å³/cell

Lattice parameters (Å, degrees): 3.755 3.755 24.953 90.00 90.00 90.00
Fractional coordinates of all 10 atoms:
La1 0.000 0.000 0.395
La2 0.000 0.000 0.814
La3 0.000 0.000 0.186
Cd1 0.000 0.000 0.000
Pr1 0.500 0.500 0.291
Pr2 0.500 0.500 0.083
Pr3 0.500 0.500 0.709
La4 0.000 0.000 0.605
Pr4 0.500 0.500 0.500
Pr5 0.500 0.500 0.917

---

Model ii:
Density functional theory data (GGA-PBE) for a geometry-optimized La4Pr5Cd structure.

Results
* V: 366.6 Å³/cell

Lattice parameters (Å, degrees): 6.088 8.336 8.336 82.34 68.58 68.58
Fractional coordinates of all 10 atoms:
La1 0.154 0.313 0.313
Pr1 0.654 0.000 0.000
Cd1 0.177 0.000 0.000
Pr2 0.768 0.371 0.000
Pr3 0.139 0.000 0.629
Pr4 0.139 0.629 0.000
Pr5 0.768 0.000 0.371
La2 0.466 0.313 0.687
La3 0.466 0.687 0.313
La4 0.779 0.687 0.687

---

model i has the most favorable energy; the next structure is 0.139 eV/atom above.

---

Model i:
Density functional theory data (GGA-PBE) for a geometry-optimized La2Pr4Cd structure.

Results
* V: 245.7 Å³/cell

Lattice parameters (Å, degrees): 3.610 8.844 8.865 116.90 101.75 90.00
Fractional coordinates of all 7 atoms:
Pr1 0.920 0.297 0.839
Pr2 0.373 0.615 0.747
La1 0.218 0.141 0.435
Pr3 0.627 0.385 0.253
Pr4 0.080 0.703 0.161
Cd1 0.000 0.000 0.000
La2 0.782 0.859 0.565

---

Model ii:
Density functional theory data (GGA-PBE) for a geometry-optimized La2Pr4Cd structure.

Results
* V: 243.0 Å³/cell

Lattice parameters (Å, degrees): 3.671 3.677 18.097 90.00 95.82 90.00
Fractional coordinates of all 7 atoms:
Pr1 0.367 0.000 0.734
Cd1 0.500 0.000 0.000
Pr2 0.633 0.000 0.266
Pr3 0.940 0.500 0.881
La1 0.206 0.500 0.412
La2 0.794 0.500 0.588
Pr4 0.060 0.500 0.119

---

model ii has the most favorable energy; the next structure is 0.065 eV/atom above.

---

Model i:
Density functional theory data (GGA-PBE) for a geometry-optimized La8PrCd2 structure.

Results
* V: 379.7 Å³/cell

Lattice parameters (Å, degrees): 5.505 8.635 9.145 112.51 107.52 90.00
Fractional coordinates of all 11 atoms:
La1 0.602 0.467 0.204
Cd1 0.780 0.369 0.561
Cd2 0.220 0.631 0.439
La2 0.311 0.043 0.622
La3 0.689 0.957 0.378
La4 0.398 0.533 0.796
La5 0.050 0.740 0.099
La6 0.150 0.204 0.299
La7 0.950 0.260 0.901
La8 0.850 0.796 0.701
Pr1 0.500 0.000 0.000

---

Model ii:
Density functional theory data (GGA-PBE) for a geometry-optimized La8PrCd2 structure.

Results
* V: 371.7 Å³/cell

Lattice parameters (Å, degrees): 6.897 8.559 8.559 48.45 99.66 99.66
Fractional coordinates of all 11 atoms:
Pr1 0.000 0.000 0.000
La1 0.568 0.183 0.636
Cd1 0.279 0.234 0.234
La2 0.432 0.364 0.817
La3 0.205 0.796 0.796
La4 0.063 0.409 0.409
La5 0.795 0.204 0.204
Cd2 0.721 0.766 0.766
La6 0.568 0.636 0.183
La7 0.937 0.591 0.591
La8 0.432 0.817 0.364

---

model i has the most favorable energy; the next structure is 0.062 eV/atom above.

---

Model i:
Density functional theory data (GGA-PBE) for a geometry-optimized La6Pr12Cd structure.

Results
* V: 679.7 Å³/cell

Lattice parameters (Å, degrees): 8.793 8.793 8.793 89.46 89.46 89.46
Fractional coordinates of all 19 atoms:
Pr1 0.029 0.166 0.366
Pr2 0.472 0.564 0.214
Pr3 0.564 0.214 0.472
La1 0.094 0.712 0.265
La2 0.906 0.288 0.735
Pr4 0.528 0.436 0.786
Pr5 0.366 0.029 0.166
La3 0.712 0.265 0.094
Pr6 0.786 0.528 0.436
Pr7 0.634 0.971 0.834
Cd1 0.000 0.000 0.000
Pr8 0.436 0.786 0.528
La4 0.265 0.094 0.712
La5 0.735 0.906 0.288
Pr9 0.166 0.366 0.029
La6 0.288 0.735 0.906
Pr10 0.834 0.634 0.971
Pr11 0.214 0.472 0.564
Pr12 0.971 0.834 0.634

---

Model ii:
Density functional theory data (GGA-PBE) for a geometry-optimized La6Pr12Cd structure.

Results
* V: 700.1 Å³/cell

Lattice parameters (Å, degrees): 8.983 8.983 8.983 98.24 98.24 98.24
Fractional coordinates of all 19 atoms:
Pr1 0.584 0.585 0.171
Pr2 0.829 0.416 0.415
Pr3 0.415 0.829 0.416
La1 0.136 0.408 0.135
La2 0.865 0.864 0.592
Cd1 0.000 0.000 0.000
Pr4 0.260 0.001 0.740
La3 0.408 0.135 0.136
Pr5 0.001 0.740 0.260
Pr6 0.260 0.740 0.999
Pr7 0.999 0.260 0.740
La4 0.864 0.592 0.865
Pr8 0.740 0.999 0.260
La5 0.592 0.865 0.864
Pr9 0.416 0.415 0.829
La6 0.135 0.136 0.408
Pr10 0.740 0.260 0.001
Pr11 0.585 0.171 0.584
Pr12 0.171 0.584 0.585

---

model i has the most favorable energy; the next structure is 0.023 eV/atom above.

---

Model i:
Density functional theory data (GGA-PBE) for a geometry-optimized La4Pr2Cd structure.

Results
* V: 247.3 Å³/cell

Lattice parameters (Å, degrees): 3.633 8.862 8.822 116.56 101.88 90.00
Fractional coordinates of all 7 atoms:
Pr1 0.218 0.142 0.435
La1 0.372 0.618 0.743
La2 0.920 0.300 0.839
Cd1 0.000 0.000 0.000
La3 0.628 0.382 0.257
Pr2 0.782 0.858 0.565
La4 0.080 0.700 0.161

---

Model ii:
Density functional theory data (GGA-PBE) for a geometry-optimized La4Pr2Cd structure.

Results
* V: 485.5 Å³/cell

Lattice parameters (Å, degrees): 6.986 6.695 12.588 96.99 98.02 121.19
Fractional coordinates of all 14 atoms:
La1 0.949 0.300 0.201
Pr1 0.537 0.954 0.344
La2 0.998 0.849 0.299
La3 0.499 0.477 0.458
Pr2 0.080 0.154 0.871
Pr3 0.443 0.360 0.156
La4 0.981 0.070 0.576
La5 0.003 0.595 0.735
La6 0.518 0.611 0.765
Cd1 0.807 0.805 0.030
La7 0.656 0.244 0.924
La8 0.289 0.770 0.042
Cd2 0.030 0.526 0.470
Pr4 0.459 0.035 0.630

---

model ii has the most favorable energy; the next structure is 0.069 eV/atom above.

---

Model i:
Density functional theory data (GGA-PBE) for a geometry-optimized La6PrCd structure.

Results
* V: 276.3 Å³/cell

Lattice parameters (Å, degrees): 5.159 5.159 10.382 90.00 90.00 90.00
Fractional coordinates of all 8 atoms:
La1 0.500 0.000 0.245
La2 0.000 0.500 0.755
La3 0.500 0.500 0.500
La4 0.500 0.500 0.000
Pr1 0.000 0.000 0.500
La5 0.500 0.000 0.755
La6 0.000 0.500 0.245
Cd1 0.000 0.000 0.000

---

Model ii:
Density functional theory data (GGA-PBE) for a geometry-optimized La6PrCd structure.

Results
* V: 309.4 Å³/cell

Lattice parameters (Å, degrees): 7.204 7.184 8.043 63.58 63.90 59.83
Fractional coordinates of all 8 atoms:
Cd1 0.000 0.000 0.000
La1 0.263 0.950 0.245
La2 0.057 0.453 0.754
La3 0.943 0.547 0.246
La4 0.455 0.738 0.755
La5 0.545 0.262 0.245
La6 0.737 0.050 0.755
Pr1 0.500 0.500 0.500

---

model i has the most favorable energy; the next structure is 0.400 eV/atom above.